No. 1
Compound: Ho2Ga2Pd
Source: the Alexandria database
Functional: GGA-PBE
Structure: relaxed

Calculated values
The formation enthalpy at 0 K comes out at -0.59 eV per atom. The space group is Ibam (72). As for the energy above the most stable polymorph in this dataset: 179 meV/atom.

Cell: 7.4435 7.4435 7.4435 Å, 130.92 69.31 134.29°
Atoms (fractional coordinates):
Ho: 0.1689 0.2276 0.3965
Ho: 0.3311 0.7276 0.0587
Ho: 0.6689 0.2724 0.9413
Ho: 0.8311 0.7724 0.6035
Ga: 0.0781 0.6662 0.7443
Ga: 0.4219 0.1662 0.5882
Ga: 0.5781 0.8338 0.4118
Ga: 0.9219 0.3338 0.2557
Pd: 0.2500 0.2500 0.0000
Pd: 0.7500 0.7500 0.0000

=====

No. 2
Compound: CsPt2PbW
Source: the Alexandria database
Functional: GGA-PBE
Structure: relaxed

Calculated values
The formation enthalpy at 0 K comes out at 0.62 eV per atom. The space group is P4/mmm (123).

Cell: 5.0632 5.0632 5.4714 Å, 90.00 90.00 90.00°
Atoms (fractional coordinates):
Cs: 0.0000 0.0000 0.0000
Pt: 0.0000 0.5000 0.5000
Pt: 0.5000 0.0000 0.5000
Pb: 0.5000 0.5000 0.0000
W: 0.5000 0.5000 0.5000

=====

No. 3
Compound: RbBiPbBr6
Source: the Alexandria database
Functional: GGA-PBE
Structure: relaxed

Calculated values
For the uncorrected formation energy, the calculation gives -1.049 eV per atom. The space group is P-31c (163).

Cell: 7.7341 7.7341 15.0185 Å, 90.00 90.00 120.00°
Atoms (fractional coordinates):
Rb: 0.0000 0.0000 0.0000
Rb: 0.0000 0.0000 0.5000
Bi: 0.3333 0.6667 0.2500
Bi: 0.6667 0.3333 0.7500
Pb: 0.3333 0.6667 0.7500
Pb: 0.6667 0.3333 0.2500
Br: 0.0163 0.3808 0.1359
Br: 0.0163 0.6355 0.3641
Br: 0.3645 0.3808 0.3641
Br: 0.3645 0.9837 0.1359
Br: 0.3808 0.0163 0.6359
Br: 0.3808 0.3645 0.8641
Br: 0.6192 0.6355 0.1359
Br: 0.6192 0.9837 0.3641
Br: 0.6355 0.0163 0.8641
Br: 0.6355 0.6192 0.6359
Br: 0.9837 0.3645 0.6359
Br: 0.9837 0.6192 0.8641

=====

No. 4
Compound: NiSeSN
Source: the Alexandria database
Functional: GGA-PBE
Structure: relaxed

Calculated values
For the uncorrected formation energy, the calculation gives 0.292 eV per atom. The space group is Cm (8). As for the energy above the most stable polymorph in this dataset: 91 meV/atom.

Cell: 4.0063 4.0063 6.3200 Å, 105.56 105.56 44.08°
Atoms (fractional coordinates):
Ni: 0.0000 0.0000 0.0000
Se: 0.2325 0.2325 0.7727
S: 0.6911 0.6911 0.2355
N: 0.8928 0.8928 0.2292

=====

No. 5
Compound: CaOs2Ru
Source: the Alexandria database
Functional: GGA-PBE
Structure: relaxed

Calculated values
The formation enthalpy at 0 K comes out at 0.63 eV per atom. The space group is Pmmm (47). As for the energy above the most stable polymorph in this dataset: 225 meV/atom.

Cell: 2.9378 4.5968 4.7518 Å, 90.00 90.00 90.00°
Atoms (fractional coordinates):
Ca: 0.0000 0.0000 0.0000
Os: 0.0000 0.5000 0.5000
Os: 0.5000 0.0000 0.5000
Ru: 0.5000 0.5000 0.0000